[1]
SrAsPt2 | SCAN | PBEsol geometry

Cell and atoms, written as extended XYZ:
```
8
Lattice="4.149 0.000 0.000 0.000 4.149 0.000 0.000 0.000 8.750" Properties=species:S:1:pos:R:3 pbc="T T T"
Sr 0.000 0.000 0.000
Sr 2.075 2.075 4.375
As 0.000 2.075 2.187
As 2.075 0.000 6.562
Pt 0.000 0.000 4.375
Pt 0.000 2.075 6.562
Pt 2.075 0.000 2.187
Pt 2.075 2.075 0.000
```

- E: -46.0005 eV/atom
- Formation energy: -287 meV/atom
- Space group: I-4m2, No. 119

=====

[2]
Zr2TcNi | SCAN | PBEsol geometry

Cell and atoms, written as extended XYZ:
```
4
Lattice="3.252 0.000 0.000 0.000 3.252 0.000 0.000 0.000 6.264" Properties=species:S:1:pos:R:3 pbc="T T T"
Zr 0.000 0.000 1.569
Zr 0.000 0.000 4.695
Tc 1.626 1.626 0.000
Ni 1.626 1.626 3.132
```

- E: -28.6442 eV/atom
- Formation energy: -486 meV/atom
- Space group: P4/mmm, No. 123

=====

[3]
ScCd3As | SCAN | PBEsol geometry

Cell and atoms, written as extended XYZ:
```
5
Lattice="5.099 0.000 0.000 0.000 5.099 0.000 0.000 0.000 5.099" Properties=species:S:1:pos:R:3 pbc="T T T"
Sc 0.000 0.000 0.000
Cd 0.000 2.549 2.549
Cd 2.549 0.000 2.549
Cd 2.549 2.549 0.000
As 2.549 2.549 2.549
```

- E: -24.6401 eV/atom
- Formation energy: 494 meV/atom
- Space group: Pm-3m, No. 221

=====

[4]
MnMo2Ru | SCAN | PBEsol geometry

Cell and atoms, written as extended XYZ:
```
16
Lattice="6.077 0.000 0.000 0.000 6.077 0.000 0.000 0.000 6.077" Properties=species:S:1:pos:R:3 pbc="T T T"
Mn 0.000 0.000 0.000
Mn 0.000 3.038 3.038
Mn 3.038 0.000 3.038
Mn 3.038 3.038 0.000
Mo 0.000 0.000 3.038
Mo 0.000 3.038 0.000
Mo 1.519 1.519 1.519
Mo 1.519 4.558 4.558
Mo 3.038 0.000 0.000
Mo 3.038 3.038 3.038
Mo 4.558 1.519 4.558
Mo 4.558 4.558 1.519
Ru 1.519 1.519 4.558
Ru 1.519 4.558 1.519
Ru 4.558 1.519 1.519
Ru 4.558 4.558 4.558
```

- E: -30.7504 eV/atom
- Relative energy among the computed polymorphs: 0.00 kcal/mol of atoms
- Formation energy: -37 meV/atom
- Space group: F-43m, No. 216

=====

[5]
MnCu2Cl4 | SCAN | PBEsol geometry

Cell and atoms, written as extended XYZ:
```
14
Lattice="3.810 0.000 0.000 0.000 9.850 0.000 0.000 0.000 7.246" Properties=species:S:1:pos:R:3 pbc="T T T"
Mn 0.000 0.000 0.000
Mn 0.000 4.925 3.623
Cu 1.905 1.315 3.617
Cu 1.905 3.610 7.240
Cu 1.905 6.241 7.240
Cu 1.905 8.535 3.617
Cl 0.000 2.418 0.019
Cl 0.000 2.507 3.642
Cl 0.000 7.343 3.642
Cl 0.000 7.432 0.019
Cl 1.905 0.000 1.696
Cl 1.905 0.000 5.557
Cl 1.905 4.925 1.933
Cl 1.905 4.925 5.319
```

- Energy relative to the elements, uncorrected: -0.93 eV per atom
- E: -12.4364 eV/atom
- Space group: Amm2, No. 38

=====

[6]
Cs3ReOs | SCAN | PBEsol geometry

Cell and atoms, written as extended XYZ:
```
5
Lattice="5.699 0.000 0.000 0.000 5.699 0.000 0.000 0.000 5.699" Properties=species:S:1:pos:R:3 pbc="T T T"
Cs 0.000 0.000 2.849
Cs 0.000 2.849 0.000
Cs 2.849 0.000 0.000
Re 0.000 0.000 0.000
Os 2.849 2.849 2.849
```

- E: -48.7616 eV/atom
- Formation energy: 2520 meV/atom
- Space group: Pm-3m, No. 221

=====

[7]
MgZrOs | SCAN | PBEsol geometry

Cell and atoms, written as extended XYZ:
```
3
Lattice="4.557 0.000 0.000 -2.279 3.947 0.000 0.000 0.000 2.882" Properties=species:S:1:pos:R:3 pbc="T T T"
Mg 0.000 0.000 0.000
Zr 2.279 1.316 1.187
Os 0.000 2.631 2.014
```

- E: -36.0142 eV/atom
- Formation energy: -163 meV/atom
- Space group: P3m1, No. 156

=====

[8]
SrLiAlSb2 | SCAN | PBEsol geometry

Cell and atoms, written as extended XYZ:
```
5
Lattice="4.525 0.000 0.000 -2.263 3.919 0.000 0.000 0.000 7.735" Properties=species:S:1:pos:R:3 pbc="T T T"
Sr 0.000 0.000 0.000
Li 2.263 1.306 5.094
Al 0.000 2.613 3.265
Sb 0.000 2.613 5.875
Sb 2.263 1.306 2.217
```

- Energy relative to the elements, uncorrected: -0.68 eV per atom
- E: -22.0699 eV/atom
- Space group: P3m1, No. 156

=====

[9]
CsGaSb3 | SCAN | PBEsol geometry

Cell and atoms, written as extended XYZ:
```
5
Lattice="5.453 0.000 0.000 0.000 5.453 0.000 0.000 0.000 5.453" Properties=species:S:1:pos:R:3 pbc="T T T"
Cs 0.000 0.000 0.000
Ga 2.726 2.726 2.726
Sb 0.000 2.726 2.726
Sb 2.726 0.000 2.726
Sb 2.726 2.726 0.000
```

- Energy relative to the elements, uncorrected: 0.19 eV per atom
- E: -32.9993 eV/atom
- Space group: Pm-3m, No. 221

=====

[10]
TaAl2Zn | SCAN | PBEsol geometry

Cell and atoms, written as extended XYZ:
```
8
Lattice="3.798 0.000 0.000 0.000 3.798 0.000 0.000 0.000 8.588" Properties=species:S:1:pos:R:3 pbc="T T T"
Ta 0.000 0.000 0.000
Ta 1.899 1.899 4.294
Al 0.000 1.899 2.147
Al 0.000 1.899 6.441
Al 1.899 0.000 2.147
Al 1.899 0.000 6.441
Zn 0.000 0.000 4.294
Zn 1.899 1.899 0.000
```

- E: -24.1178 eV/atom
- Formation energy: -217 meV/atom
- Space group: I4/mmm, No. 139

=====

[11]
KNaY2Ir | SCAN | PBEsol geometry

Cell and atoms, written as extended XYZ:
```
5
Lattice="5.280 0.000 0.000 0.000 5.280 0.000 0.000 0.000 6.434" Properties=species:S:1:pos:R:3 pbc="T T T"
K 0.000 0.000 0.000
Na 2.640 2.640 0.000
Y 0.000 2.640 3.217
Y 2.640 0.000 3.217
Ir 0.000 0.000 3.217
```

- E: -27.9327 eV/atom
- Formation energy: -67 meV/atom
- Space group: P4/mmm, No. 123

=====

[12]
TlOs2Se | SCAN | PBEsol geometry

Cell and atoms, written as extended XYZ:
```
16
Lattice="6.385 0.000 0.000 0.000 6.385 0.000 0.000 0.000 6.385" Properties=species:S:1:pos:R:3 pbc="T T T"
Tl 0.000 0.000 0.000
Tl 0.000 3.193 3.193
Tl 3.193 0.000 3.193
Tl 3.193 3.193 0.000
Os 1.596 1.596 1.596
Os 1.596 1.596 4.789
Os 1.596 4.789 1.596
Os 1.596 4.789 4.789
Os 4.789 1.596 1.596
Os 4.789 1.596 4.789
Os 4.789 4.789 1.596
Os 4.789 4.789 4.789
Se 0.000 0.000 3.193
Se 0.000 3.193 0.000
Se 3.193 0.000 0.000
Se 3.193 3.193 3.193
```

- Energy relative to the elements, uncorrected: 1.28 eV per atom
- E: -57.7693 eV/atom
- Relative energy among the computed polymorphs: 1.22 kcal/mol of atoms
- Space group: Fm-3m, No. 225

=====

Which value of E does entry 8 give? -22.0699 eV/atom

=====

Number 2 is which compound? Zr2TcNi

=====

Which of these has the lowest E? TlOs2Se

=====

What is the E in the eighth record? -22.0699 eV/atom